ScCoOs4: optimized geometry, PBE-GGA.

Results
Energy of formation from the pure elements (eV per atom): 0.2916
Symmetry: F-43m

```
6
Lattice="0.000 3.642 3.642 3.642 0.000 3.642 3.642 3.642 0.000" Properties=species:S:1:pos:R:3 pbc="T T T"
Sc 0.000 0.000 0.000
Co 1.821 1.821 1.821
Os 4.550 2.734 2.734
Os 2.734 4.550 2.734
Os 2.734 2.734 4.550
Os 4.550 4.550 4.550
```

Cd6In4Hg: optimized geometry, PBE-GGA.

Results
Energy of formation from the pure elements (eV per atom): 0.0530
Symmetry: Cmcm

```
22
Lattice="2.832 -3.897 0.000 2.832 3.897 0.000 0.000 0.000 25.563" Properties=species:S:1:pos:R:3 pbc="T T T"
Cd 0.000 0.000 0.000
Cd 0.000 0.000 12.781
Cd 2.832 2.696 19.172
Cd 2.832 1.763 2.321
Cd 2.832 1.763 10.460
Cd 2.832 0.289 17.394
Cd 2.832 0.289 20.950
Cd 2.832 -0.289 4.612
Cd 2.832 -0.289 8.169
Cd 2.832 -1.763 15.103
Cd 2.832 -1.763 23.241
Cd 2.832 -2.696 6.391
In 2.832 3.262 16.213
In 2.832 3.262 22.132
In 2.832 1.070 13.959
In 2.832 1.070 24.386
In 2.832 -1.070 1.177
In 2.832 -1.070 11.604
In 2.832 -3.262 3.431
In 2.832 -3.262 9.350
Hg 2.832 2.214 6.391
Hg 2.832 -2.214 19.172
```

Tl2SbBrCl6: optimized geometry, PBE-GGA.

Results
Symmetry: P-3m1
Formation energy without anion corrections (meV per atom): -671

```
10
Lattice="7.084 0.000 0.000 -3.542 6.135 0.000 0.000 0.000 9.304" Properties=species:S:1:pos:R:3 pbc="T T T"
Tl 0.000 4.090 1.364
Tl 3.542 2.045 7.940
Sb 0.000 0.000 0.000
Br 0.000 0.000 4.652
Cl 0.000 2.071 7.914
Cl -1.748 5.099 7.914
Cl 1.794 1.036 1.390
Cl 1.748 5.099 7.914
Cl 5.290 1.036 1.390
Cl 3.542 4.064 1.390
```

Ca3Zn7Ga4: optimized geometry, PBE-GGA.

Results
Energy of formation from the pure elements (eV per atom): -0.3207
Symmetry: C2/m

```
14
Lattice="7.999 -2.159 0.000 7.999 2.159 0.000 -5.855 0.000 7.707" Properties=species:S:1:pos:R:3 pbc="T T T"
Ca 0.000 0.000 0.000
Ca 3.052 0.000 2.312
Ca 7.090 0.000 5.395
Zn -2.928 0.000 3.853
Zn -2.840 0.000 6.618
Zn 1.315 0.000 5.414
Zn 6.215 0.000 2.316
Zn 3.927 0.000 5.391
Zn 8.826 0.000 2.292
Zn 12.982 0.000 1.089
Ga -0.269 0.000 3.222
Ga -0.292 0.000 7.488
Ga 10.434 0.000 0.219
Ga 10.411 0.000 4.485
```

Ba3CaPd2: optimized geometry, PBE-GGA.

Results
Energy of formation from the pure elements (eV per atom): -0.4166
Symmetry: C2/m

```
12
Lattice="9.604 -2.298 0.000 9.604 2.298 0.000 -8.635 0.000 11.592" Properties=species:S:1:pos:R:3 pbc="T T T"
Ba -0.497 0.000 2.282
Ba -1.378 0.000 6.480
Ba -2.159 0.000 10.991
Ba 12.732 0.000 0.601
Ba 11.951 0.000 5.112
Ba 11.070 0.000 9.310
Ca 5.920 0.000 3.494
Ca 4.653 0.000 8.098
Pd -5.080 0.000 9.941
Pd 1.836 0.000 7.202
Pd 8.737 0.000 4.391
Pd 15.654 0.000 1.651
```

Y4Tm3Sc: optimized geometry, PBE-GGA.

Results
Energy of formation from the pure elements (eV per atom): 0.0115
Symmetry: Pmn2_1
Energy above the lowest structure with this stoichiometry (eV/atom): 0.000

```
16
Lattice="11.086 0.000 0.000 0.000 7.168 0.000 0.000 0.000 6.187" Properties=species:S:1:pos:R:3 pbc="T T T"
Y 0.000 0.928 0.000
Y 0.000 6.245 3.060
Y 2.735 6.241 5.176
Y 2.808 0.927 2.083
Y 5.543 0.923 6.153
Y 5.543 6.240 3.093
Y 8.278 0.927 2.083
Y 8.351 6.241 5.176
Tm 0.000 2.716 3.094
Tm 2.766 2.720 5.132
Tm 2.777 4.448 2.038
Tm 5.543 4.452 0.000
Tm 8.320 2.720 5.132
Tm 8.309 4.448 2.038
Sc 0.000 4.452 6.186
Sc 5.543 2.716 3.092
```

BaTeF: optimized geometry, PBE-GGA.

Results
Symmetry: C2/m
Energy above the lowest structure with this stoichiometry (eV/atom): 0.011
Formation energy without anion corrections (meV per atom): -2352

```
6
Lattice="3.636 -3.322 0.000 3.636 3.322 0.000 -0.482 0.000 8.367" Properties=species:S:1:pos:R:3 pbc="T T T"
Ba 0.871 0.000 1.864
Ba 5.920 0.000 6.504
Te 2.555 0.000 5.306
Te 4.236 0.000 3.061
F 0.861 0.000 7.762
F 5.930 0.000 0.605
```

PrNiP2Rh: optimized geometry, PBE-GGA.

Results
Energy of formation from the pure elements (eV per atom): -0.9779
Symmetry: I-4m2

```
5
Lattice="-2.022 2.022 4.904 2.022 -2.022 4.904 2.022 2.022 -4.904" Properties=species:S:1:pos:R:3 pbc="T T T"
Pr 0.000 0.000 0.000
Ni 0.000 2.022 2.452
P 0.000 0.000 3.697
P 0.000 0.000 6.111
Rh 2.022 0.000 2.452
```

NaIn2NiSb: optimized geometry, PBE-GGA.

Results
Symmetry: P4/mmm
Formation energy without anion corrections (meV per atom): -49

```
5
Lattice="4.968 0.000 0.000 0.000 4.968 0.000 0.000 0.000 5.264" Properties=species:S:1:pos:R:3 pbc="T T T"
Na 0.000 0.000 0.000
In 0.000 2.484 2.632
In 2.484 0.000 2.632
Ni 2.484 2.484 2.632
Sb 2.484 2.484 0.000
```

SmPu3Se4: optimized geometry, PBE-GGA.

Results
Symmetry: Pm-3m
Energy above the lowest structure with this stoichiometry (eV/atom): 0.004
Formation energy without anion corrections (meV per atom): -1611

```
8
Lattice="5.874 0.000 0.000 0.000 5.874 0.000 0.000 0.000 5.874" Properties=species:S:1:pos:R:3 pbc="T T T"
Sm 0.000 0.000 0.000
Pu 0.000 2.937 2.937
Pu 2.937 0.000 2.937
Pu 2.937 2.937 0.000
Se 0.000 0.000 2.937
Se 0.000 2.937 0.000
Se 2.937 0.000 0.000
Se 2.937 2.937 2.937
```

YGa2Ru: optimized geometry, PBE-GGA.

Results
Energy of formation from the pure elements (eV per atom): -0.0850
Symmetry: I-42d

```
8
Lattice="-2.028 2.028 9.568 2.028 -2.028 9.568 2.028 2.028 -9.568" Properties=species:S:1:pos:R:3 pbc="T T T"
Y 0.000 0.000 0.000
Y 0.000 2.028 4.784
Ga 1.014 -0.773 7.176
Ga 1.255 1.014 2.392
Ga 1.014 2.801 -2.392
Ga 0.773 1.014 11.960
Ru 2.028 0.000 4.784
Ru 0.000 0.000 9.568
```

ScRePt2: optimized geometry, PBE-GGA.

Results
Energy of formation from the pure elements (eV per atom): -0.4785
Symmetry: P4/mmm

```
4
Lattice="3.970 0.000 0.000 0.000 3.970 0.000 0.000 0.000 4.049" Properties=species:S:1:pos:R:3 pbc="T T T"
Sc 0.000 0.000 0.000
Re 1.985 1.985 0.000
Pt 0.000 1.985 2.025
Pt 1.985 0.000 2.025
```

Number 1: VASP energy -9.434 eV per atom. Number 2: VASP energy -1.469 eV per atom. Number 3: VASP energy -2.832 eV per atom. Number 4: VASP energy -2.251 eV per atom. Number 5: VASP energy -3.443 eV per atom. Number 6: VASP energy -5.689 eV per atom. Number 7: VASP energy -4.664 eV per atom. Number 8: VASP energy -6.724 eV per atom. Number 9: VASP energy -3.389 eV per atom. Number 10: VASP energy -9.317 eV per atom. Number 11: VASP energy -5.533 eV per atom. Number 12: VASP energy -8.194 eV per atom.